# Pu3BiSe2, optimized geometry, DFT PBE
# N(E_F): 124.4 states/eV per cell
# excess energy over the best structure of this formula in the dataset: 0.000 eV per atom
# total magnetization: 16.9 μB/f.u.
# formation energy (no corrections): -640.7 kJ/mol of formula units
data_Pu3BiSe2
_cell_length_a 7.401
_cell_length_b 12.919
_cell_length_c 7.449
_cell_angle_alpha 90.00
_cell_angle_beta 109.56
_cell_angle_gamma 90.00
_space_group_name_H-M_alt 'C 1 2/c 1'
_space_group_IT_number 15
loop_
_space_group_symop_operation_xyz
'x,y,z'
'-x,-y,-z'
'-x,y,-z+1/2'
'x,-y,z+1/2'
'x+1/2,y+1/2,z'
'-x+1/2,-y+1/2,-z'
'-x+1/2,y+1/2,-z+1/2'
'x+1/2,-y+1/2,z+1/2'
loop_
_atom_site_label
_atom_site_type_symbol
_atom_site_fract_x
_atom_site_fract_y
_atom_site_fract_z
_atom_site_occupancy
Pu1 Pu 0.223 0.092 0.495 1
Pu2 Pu 0.250 0.250 0.000 1
Bi1 Bi 0.000 0.424 0.750 1
Se1 Se 0.000 0.084 0.750 1
Se2 Se 0.000 0.258 0.250 1

---

# Pu4BiTe2Se, optimized geometry, DFT PBE
# N(E_F): 52.2 states/eV per cell
# total magnetization: 0.1 μB/f.u.
# formation energy (no corrections): -731.7 kJ/mol of formula units
data_Pu4BiTe2Se
_cell_length_a 7.629
_cell_length_b 4.390
_cell_length_c 7.629
_cell_angle_alpha 90.00
_cell_angle_beta 109.79
_cell_angle_gamma 90.00
_space_group_name_H-M_alt 'P 1 2/m 1'
_space_group_IT_number 10
loop_
_space_group_symop_operation_xyz
'x,y,z'
'-x,-y,-z'
'-x,y,-z'
'x,-y,z'
loop_
_atom_site_label
_atom_site_type_symbol
_atom_site_fract_x
_atom_site_fract_y
_atom_site_fract_z
_atom_site_occupancy
Pu1 Pu 0.235 0.000 0.236 1
Pu2 Pu 0.239 0.500 0.752 1
Bi1 Bi 0.500 0.000 0.000 1
Te1 Te 0.000 0.000 0.500 1
Te2 Te 0.500 0.500 0.500 1
Se1 Se 0.000 0.500 0.000 1

---

# PuTl2BiSe4, optimized geometry, DFT PBE
# N(E_F): 11.8 states/eV per cell
# total magnetization: 5.0 μB/f.u.
# formation energy (no corrections): -591.3 kJ/mol of formula units
data_PuTl2BiSe4
_cell_length_a 7.438
_cell_length_b 4.283
_cell_length_c 8.061
_cell_angle_alpha 90.00
_cell_angle_beta 107.90
_cell_angle_gamma 90.00
_space_group_name_H-M_alt 'P 1 2/m 1'
_space_group_IT_number 10
loop_
_space_group_symop_operation_xyz
'x,y,z'
'-x,-y,-z'
'-x,y,-z'
'x,-y,z'
loop_
_atom_site_label
_atom_site_type_symbol
_atom_site_fract_x
_atom_site_fract_y
_atom_site_fract_z
_atom_site_occupancy
Pu1 Pu 0.000 0.000 0.000 1
Tl1 Tl 0.000 0.500 0.500 1
Tl2 Tl 0.500 0.000 0.500 1
Bi1 Bi 0.500 0.500 0.000 1
Se1 Se 0.229 0.500 0.207 1
Se2 Se 0.258 0.000 0.787 1

---

# Pu2SiBi, optimized geometry, DFT PBE
# N(E_F): 47.2 states/eV per cell
# excess energy over the best structure of this formula in the dataset: 0.116 eV per atom
# total magnetization: 10.7 μB/f.u.
# formation energy (no corrections): -72.6 kJ/mol of formula units
data_Pu2SiBi
_cell_length_a 4.8673
_cell_length_b 4.8673
_cell_length_c 15.4040
_cell_angle_alpha 90.00
_cell_angle_beta 90.00
_cell_angle_gamma 120.00
_space_group_name_H-M_alt 'R -3 m'
_space_group_IT_number 166
_space_group_name_Hall '-R 3 2"'
loop_
_atom_site_label
_atom_site_type_symbol
_atom_site_fract_x
_atom_site_fract_y
_atom_site_fract_z
_atom_site_occupancy
Pu1 Pu 0.0000 0.0000 0.2293 1
Si1 Si 0.0000 0.0000 0.5000 1
Bi1 Bi 0.0000 0.0000 0.0000 1

---

# Pu2SiBi, optimized geometry, DFT PBE
# N(E_F): 10.4 states/eV per cell
# excess energy over the best structure of this formula in the dataset: 0.058 eV per atom
# total magnetization: 11.6 μB/f.u.
# formation energy (no corrections): -94.9 kJ/mol of formula units
data_Pu2SiBi
_cell_length_a 4.737
_cell_length_b 4.737
_cell_length_c 4.374
_cell_angle_alpha 90.00
_cell_angle_beta 90.00
_cell_angle_gamma 90.00
_space_group_name_H-M_alt 'P 4/m m m'
_space_group_IT_number 123
_space_group_name_Hall '-P 4 2'
loop_
_atom_site_label
_atom_site_type_symbol
_atom_site_fract_x
_atom_site_fract_y
_atom_site_fract_z
_atom_site_occupancy
Pu1 Pu 0.000 0.500 0.000 1
Si1 Si 0.000 0.000 0.500 1
Bi1 Bi 0.500 0.500 0.500 1

---

# Pu2SiBi, optimized geometry, DFT PBE
# N(E_F): 14.0 states/eV per cell
# excess energy over the best structure of this formula in the dataset: 0.000 eV per atom
# total magnetization: 10.9 μB/f.u.
# formation energy (no corrections): -117.2 kJ/mol of formula units
data_Pu2SiBi
_cell_length_a 3.964
_cell_length_b 3.964
_cell_length_c 6.167
_cell_angle_alpha 90.00
_cell_angle_beta 90.00
_cell_angle_gamma 90.00
_space_group_name_H-M_alt 'P 4/m m m'
_space_group_IT_number 123
_space_group_name_Hall '-P 4 2'
loop_
_atom_site_label
_atom_site_type_symbol
_atom_site_fract_x
_atom_site_fract_y
_atom_site_fract_z
_atom_site_occupancy
Pu1 Pu 0.000 0.000 0.225 1
Si1 Si 0.500 0.500 0.000 1
Bi1 Bi 0.500 0.500 0.500 1

---

# SmPuBi2, optimized geometry, DFT PBE
# N(E_F): 61.2 states/eV per cell
# excess energy over the best structure of this formula in the dataset: 0.003 eV per atom
# total magnetization: 5.1 μB/f.u.
# calculated formation energy: -0.620 eV/atom
data_SmPuBi2
_cell_length_a 6.431
_cell_length_b 6.431
_cell_length_c 12.867
_cell_angle_alpha 90.00
_cell_angle_beta 90.00
_cell_angle_gamma 90.00
_space_group_name_H-M_alt 'I 41/a m d'
_space_group_IT_number 141
loop_
_space_group_symop_operation_xyz
'x,y,z'
'-x,-y,-z'
'-y+1/4,x+3/4,z+1/4'
'y+1/4,-x+3/4,-z+1/4'
'-x+1/2,-y,z+1/2'
'x+1/2,y,-z+1/2'
'y+1/4,-x+1/4,z+3/4'
'-y+1/4,x+1/4,-z+3/4'
'x,-y,-z'
'-x,y,z'
'-y+1/4,-x+1/4,-z+3/4'
'y+1/4,x+1/4,z+3/4'
'-x+1/2,y,-z+1/2'
'x+1/2,-y,z+1/2'
'y+1/4,x+3/4,-z+1/4'
'-y+1/4,-x+3/4,z+1/4'
'x+1/2,y+1/2,z+1/2'
'-x+1/2,-y+1/2,-z+1/2'
'-y+3/4,x+1/4,z+3/4'
'y+3/4,-x+1/4,-z+3/4'
'-x,-y+1/2,z'
'x,y+1/2,-z'
'y+3/4,-x+3/4,z+1/4'
'-y+3/4,x+3/4,-z+1/4'
'x+1/2,-y+1/2,-z+1/2'
'-x+1/2,y+1/2,z+1/2'
'-y+3/4,-x+3/4,-z+1/4'
'y+3/4,x+3/4,z+1/4'
'-x,y+1/2,-z'
'x,-y+1/2,z'
'y+3/4,x+1/4,-z+3/4'
'-y+3/4,-x+1/4,z+3/4'
loop_
_atom_site_label
_atom_site_type_symbol
_atom_site_fract_x
_atom_site_fract_y
_atom_site_fract_z
_atom_site_occupancy
Sm1 Sm 0.000 0.250 0.375 1
Pu1 Pu 0.000 0.250 0.875 1
Bi1 Bi 0.000 0.250 0.123 1

---

# SmPuBi2, optimized geometry, DFT PBE
# N(E_F): 11.7 states/eV per cell
# excess energy over the best structure of this formula in the dataset: 0.088 eV per atom
# total magnetization: 5.8 μB/f.u.
# calculated formation energy: -0.535 eV/atom
data_SmPuBi2
_cell_length_a 5.912
_cell_length_b 5.912
_cell_length_c 3.410
_cell_angle_alpha 90.00
_cell_angle_beta 90.00
_cell_angle_gamma 90.00
_space_group_name_H-M_alt 'P 4/m m m'
_space_group_IT_number 123
_space_group_name_Hall '-P 4 2'
loop_
_atom_site_label
_atom_site_type_symbol
_atom_site_fract_x
_atom_site_fract_y
_atom_site_fract_z
_atom_site_occupancy
Sm1 Sm 0.000 0.000 0.000 1
Pu1 Pu 0.500 0.500 0.000 1
Bi1 Bi 0.000 0.500 0.500 1